# 1
This record from the Alexandria database describes an optimized crystal structure of CaCoC. The functional is PBE.

As for the calculated total energy: -72.791 eV per cell. The value obtained for the calculated formation energy is 0.045 eV per atom. The value obtained for the polymorph energy (0 for the lowest one) is 172 meV/atom.

a = 12.4470 Å, b = 3.6960 Å, c = 4.3077 Å
α = 90.00°, β = 107.22°, γ = 90.00°
Space group C2/m (No. 12)
Asymmetric unit:
Ca1 0.1191 0.0000 0.3960 x4
Co1 0.1935 0.5000 0.9651 x4
C1 0.0471 0.5000 0.9571 x4



# 2
This record from the Alexandria database describes an optimized crystal structure of LiTe2Pd. The functional is PBE.

As for the calculated total energy: -42.027 eV per cell. As for the uncorrected formation energy: -155 meV/atom.

a = 3.4048 Å, b = 3.4048 Å, c = 27.8350 Å
α = 90.00°, β = 90.00°, γ = 120.00°
Space group R-3m (No. 166, hexagonal axes)
Asymmetric unit:
Li1 0.0000 0.0000 0.0000 x3
Te1 0.0000 0.0000 0.4078 x6
Pd1 0.0000 0.0000 0.5000 x3



# 3
This record from the Alexandria database describes an optimized crystal structure of Sc2CuHPt. The functional is PBE.

As for the calculated total energy: -29.666 eV per cell.

a = 4.5627 Å, b = 4.5627 Å, c = 3.4663 Å
α = 90.00°, β = 90.00°, γ = 90.00°
Space group P4/mmm (No. 123)
Asymmetric unit:
Sc1 0.0000 0.5000 0.0000 x2
Cu1 0.0000 0.0000 0.5000 x1
H1 0.0000 0.0000 0.0000 x1
Pt1 0.5000 0.5000 0.5000 x1



# 4
This record from the Alexandria database describes an optimized crystal structure of ZrTlNi2P. The functional is PBE.

As for the calculated total energy: -21.587 eV per cell. The value obtained for the calculated formation energy is 1.260 eV per atom.

a = 4.6099 Å, b = 4.6099 Å, c = 5.4805 Å
α = 90.00°, β = 90.00°, γ = 90.00°
Space group P4/mmm (No. 123)
Asymmetric unit:
Zr1 0.0000 0.0000 0.0000 x1
Tl1 0.0000 0.0000 0.5000 x1
Ni1 0.0000 0.5000 0.5000 x2
P1 0.5000 0.5000 0.0000 x1



# 5
This record from the Alexandria database describes an optimized crystal structure of YHgPb2. The functional is PBE.

As for the calculated total energy: -43.520 eV per cell. The value obtained for the calculated formation energy is -0.081 eV per atom.

a = 3.6500 Å, b = 3.6500 Å, c = 30.8654 Å
α = 90.00°, β = 90.00°, γ = 120.00°
Space group R-3m (No. 166, hexagonal axes)
Asymmetric unit:
Y1 0.0000 0.0000 0.0000 x3
Hg1 0.0000 0.0000 0.5000 x3
Pb1 0.0000 0.0000 0.2479 x6



# 6
This record from the Alexandria database describes an optimized crystal structure of HoTl2BiS4. The functional is PBE.

As for the calculated total energy: -37.329 eV per cell. As for the uncorrected formation energy: -953 meV/atom.

a = 7.0973 Å, b = 4.0737 Å, c = 7.8347 Å
α = 90.00°, β = 107.39°, γ = 90.00°
Space group P2/m (No. 10)
Asymmetric unit:
Ho1 0.0000 0.0000 0.0000 x1
Tl1 0.0000 0.5000 0.5000 x1
Tl2 0.5000 0.0000 0.5000 x1
Bi1 0.5000 0.5000 0.0000 x1
S1 0.2248 0.5000 0.1996 x2
S2 0.2556 0.0000 0.7945 x2



# 7
This record from the Alexandria database describes an optimized crystal structure of Dy5Ho4Er. The functional is PBE.

As for the calculated total energy: -45.301 eV per cell. The value obtained for the calculated formation energy is 0.058 eV per atom. The value obtained for the polymorph energy (0 for the lowest one) is 0 meV/atom.

a = 3.5314 Å, b = 6.7392 Å, c = 13.7735 Å
α = 97.63°, β = 90.06°, γ = 105.11°
Space group P-1 (No. 2)
Asymmetric unit:
Dy1 0.0000 0.0000 0.0000 x1
Dy2 0.0354 0.0826 0.3837 x2
Dy3 0.3145 0.6248 0.4150 x2
Ho1 0.3219 0.6722 0.7904 x2
Ho2 0.3729 0.7963 0.1919 x2
Er1 0.5000 0.5000 0.0000 x1



# 8
This record from the Alexandria database describes an optimized crystal structure of Pr3Au. The functional is PBE.

As for the calculated total energy: -152.111 eV per cell. The value obtained for the calculated formation energy is -0.349 eV per atom. The value obtained for the polymorph energy (0 for the lowest one) is 0 meV/atom.

a = 12.4590 Å, b = 12.4590 Å, c = 6.4758 Å
α = 90.00°, β = 90.00°, γ = 90.00°
Space group P4_2/n (No. 86, origin choice 2)
Asymmetric unit:
Pr1 0.0268 0.5820 0.2420 x8
Pr2 0.1157 0.2102 0.0258 x8
Pr3 0.1310 0.6714 0.7248 x8
Au1 0.0480 0.1953 0.5207 x8